## ZnFe2BC (SCAN)

Data for ZnFe2BC at its PBEsol-relaxed geometry.

Results
**Symmetry**: No. 123
**Theoretical density**: 7.03 g/cm³
**Uncorrected energy**: -13.12 eV per atom
**Spin magnetization**: 3.9 μB per formula unit
**Energy of formation from the pure elements**: 342 meV per atom

a b c (Å): 3.964 3.964 3.004
angles (deg): 90.00 90.00 90.00
Atoms (fractional coordinates):
Zn: 0.000 0.000 0.000
Fe: 0.000 0.500 0.500
Fe: 0.500 0.000 0.500
B: 0.500 0.500 0.000
C: 0.500 0.500 0.500